No. 1
# NaSrAc2

NaSrAc2 after structural relaxation (PBE-GGA, Alexandria).

Unit cell a=14.412 b=14.412 c=14.412 alpha=15.60 beta=15.60 gamma=15.60
Fractional positions:
Na  0.000  0.000  0.000
Sr  0.500  0.500  0.500
Ac  0.087  0.087  0.087
Ac  0.913  0.913  0.913

Output
magnetic moment: 0.00 μB per formula unit
excess energy over the best structure of this formula in the dataset: 92.6 meV per atom



No. 2
# CoIrOs2

CoIrOs2 after structural relaxation (PBE-GGA, Alexandria).

Unit cell a=2.689 b=3.793 c=5.305 alpha=90.00 beta=90.00 gamma=90.00
Fractional positions:
Co  0.000  0.000  0.000
Ir  0.000  0.000  0.500
Os  0.500  0.500  0.237
Os  0.500  0.500  0.763

Output
magnetic moment: 0.57 μB per formula unit
excess energy over the best structure of this formula in the dataset: 29.3 meV per atom



No. 3
# Ac6Nd4Dy

Ac6Nd4Dy after structural relaxation (PBE-GGA, Alexandria).

Unit cell a=11.392 b=11.392 c=11.392 alpha=145.19 beta=145.19 gamma=50.04
Fractional positions:
Ac  0.000  0.500  0.500
Ac  0.112  0.112  0.603
Ac  0.491  0.888  0.000
Ac  0.500  0.000  0.500
Ac  0.509  0.509  0.397
Ac  0.888  0.491  0.000
Nd  0.057  0.674  0.000
Nd  0.326  0.326  0.383
Nd  0.674  0.057  0.000
Nd  0.943  0.943  0.617
Dy  0.000  0.000  0.000

Output
magnetic moment: 0.00 μB per formula unit
electronic total energy: -4.087 eV/atom